Below is a relaxed Cd3AgF7 crystal, with properties calculated at the PBE level.

abc: 6.8351 6.8351 7.5099
angles: 90.00 90.00 106.91
With the nearest neighbours (Å) after each atom.
Sites, in units of the cell vectors:
Ag: 0.0000 0.0000 0.5000  6 F 2.38-2.50
Ag: 0.0000 0.0000 0.0000  6 F 2.38-2.50
F: 0.3812 0.1283 0.4868  3 Cd 2.29-2.43, 1 Ag 2.50
F: 0.3812 0.1282 0.0133  3 Cd 2.29-2.43, 1 Ag 2.50
F: 0.6188 0.8717 0.9868  3 Cd 2.29-2.43, 1 Ag 2.50
F: 0.1333 0.8667 0.7500  2 Cd 2.26, 2 Ag 2.38
F: 0.6562 0.3438 0.7500  4 Cd 2.35-2.54
F: 0.1283 0.3812 0.5132  3 Cd 2.29-2.43, 1 Ag 2.50
F: 0.6188 0.8718 0.5133  3 Cd 2.29-2.43, 1 Ag 2.50
F: 0.8717 0.6188 0.0132  3 Cd 2.29-2.43, 1 Ag 2.50
F: 0.3438 0.6562 0.2500  4 Cd 2.35-2.54
F: 0.8718 0.6188 0.4867  3 Cd 2.29-2.43, 1 Ag 2.50
F: 0.3879 0.6121 0.7500  4 Cd 2.25-2.50
F: 0.8667 0.1333 0.2500  2 Cd 2.26, 2 Ag 2.38
F: 0.1282 0.3812 0.9867  3 Cd 2.29-2.43, 1 Ag 2.50
F: 0.6121 0.3879 0.2500  4 Cd 2.25-2.50
Cd: 0.9932 0.4782 0.2500  7 F 2.26-2.50
Cd: 0.5000 0.5000 0.5000  6 F 2.25-2.43
Cd: 0.5000 0.5000 0.0000  6 F 2.25-2.43
Cd: 0.4782 0.9932 0.7500  7 F 2.26-2.50
Cd: 0.5218 0.0068 0.2500  7 F 2.26-2.50
Cd: 0.0068 0.5218 0.7500  7 F 2.26-2.50

Values from the calculation:
* E: -3.64 eV per atom
* theoretical density: 5.72 g cm⁻³
* space-group type: No. 63
* raw formation energy: -1.940 eV/atom
* magnetic moment: 0.00 μB/f.u.